# CdTe2As GGA-PBE optimized geometry
data_CdTe2As
_space_group_name_H-M_alt 'P 1'
_space_group_IT_number 1
_cell_length_a 4.2514
_cell_length_b 4.3686
_cell_length_c 12.2617
_cell_angle_alpha 90.00
_cell_angle_beta 90.00
_cell_angle_gamma 90.00
loop_
_space_group_symop_operation_xyz
'x,y,z'
loop_
_atom_site_label
_atom_site_fract_x
_atom_site_fract_y
_atom_site_fract_z
Cd1 0.0000 0.0000 0.0000
Cd2 0.5000 0.5000 0.5000
Te1 0.0000 0.5000 0.1710
Te2 0.0000 0.5000 0.8290
Te3 0.5000 0.0000 0.3290
Te4 0.5000 0.0000 0.6710
As1 0.0000 0.0000 0.5000
As2 0.5000 0.5000 0.0000
# N(E_F)   4.13 states/eV per cell
# ΔE to the lowest computed polymorph   166 meV per atom
# Formation energy without anion corrections   0.084 eV/atom
# E   -2.878 eV/atom
# Calculated density   6.45 g/cm³
# Crystal system   orthorhombic